1.
DFT (PBE) results for crystalline Pr3Cu2Ru3C at its relaxed geometry.

Computed properties:
Total magnetic moment (μB per cell): 0.00
SG: P-62m, No. 189
Energy relative to the elements (meV per atom): 94

a = 7.4471 Å, b = 7.4471 Å, c = 3.4271 Å
α = 90.00°, β = 90.00°, γ = 120.00°
Closest atoms and distances in Å follow each position.
Sites, in units of the cell vectors:
Pr 0.0000 0.6292 0.0000  1 C 2.76, 4 Cu 2.91, 4 Ru 2.95
Pr 0.3708 0.3708 0.0000  1 C 2.76, 4 Cu 2.91, 4 Ru 2.95
Pr 0.6292 0.0000 0.0000  1 C 2.76, 4 Cu 2.91, 4 Ru 2.95
Cu 0.3333 0.6667 0.5000  6 Pr 2.91, 3 Ru 3.03
Cu 0.6667 0.3333 0.5000  6 Pr 2.91, 3 Ru 3.03
Ru 0.0000 0.2128 0.5000  2 C 2.33
Ru 0.2128 0.0000 0.5000  2 C 2.33
Ru 0.7872 0.7872 0.5000  2 C 2.33
C 0.0000 0.0000 0.0000  6 Ru 2.33


2.
DFT (PBE) results for crystalline CsYRhBr6 at its relaxed geometry.

Computed properties:
Total magnetic moment (μB per cell): 1.00
ΔE_f (raw) (eV/atom): -1.280
SG: C2, No. 5

a = 6.9144 Å, b = 6.9144 Å, c = 8.3814 Å
α = 91.65°, β = 91.65°, γ = 117.57°
Closest atoms and distances in Å follow each position.
Sites, in units of the cell vectors:
Cs 0.0000 0.0000 0.0000  6 Br 3.65-3.67
Y 0.6653 0.3347 0.5000  6 Br 2.76-2.86
Rh 0.3204 0.6796 0.5000  4 Br 2.52-2.54
Br 0.0025 0.6576 0.3261  1 Rh 2.54, 1 Y 2.85
Br 0.3355 0.3871 0.3217  1 Rh 2.52
Br 0.3424 0.9975 0.6739  1 Rh 2.54, 1 Y 2.85
Br 0.6084 0.0010 0.2851  1 Y 2.76, 1 Rh 2.91
Br 0.6129 0.6645 0.6783  1 Rh 2.52
Br 0.9990 0.3916 0.7149  1 Y 2.76, 1 Rh 2.91


3.
DFT (PBE) results for crystalline Y5Hg2Rh at its relaxed geometry.

Computed properties:
Total magnetic moment (μB per cell): 0.00
SG: Pbam, No. 55
Energy relative to the elements (meV per atom): -510

a = 7.1751 Å, b = 12.0279 Å, c = 4.9319 Å
α = 90.00°, β = 90.00°, γ = 90.00°
Closest atoms and distances in Å follow each position.
Sites, in units of the cell vectors:
Y 0.0000 0.0000 0.0000  4 Hg 3.18, 4 Y 3.55
Y 0.1417 0.2927 0.0000  1 Rh 2.69
Y 0.1757 0.5870 0.5000  2 Rh 2.96, 2 Hg 3.06-3.12, 1 Y 3.28
Y 0.3243 0.0870 0.5000  2 Rh 2.96, 2 Hg 3.06-3.12, 1 Y 3.28
Y 0.3583 0.7927 0.0000  1 Rh 2.69
Y 0.5000 0.5000 0.0000  4 Hg 3.18, 4 Y 3.55
Y 0.6417 0.2073 0.0000  1 Rh 2.69
Y 0.6757 0.9130 0.5000  2 Rh 2.96, 2 Hg 3.06-3.12, 1 Y 3.28
Y 0.8243 0.4130 0.5000  2 Rh 2.96, 2 Hg 3.06-3.12, 1 Y 3.28
Y 0.8583 0.7073 0.0000  1 Rh 2.69
Hg 0.0840 0.8405 0.5000  8 Y 3.06-3.36
Hg 0.4160 0.3405 0.5000  8 Y 3.06-3.36
Hg 0.5840 0.6595 0.5000  8 Y 3.06-3.36
Hg 0.9160 0.1595 0.5000  8 Y 3.06-3.36
Rh 0.0000 0.5000 0.0000  6 Y 2.69-2.96
Rh 0.5000 0.0000 0.0000  6 Y 2.69-2.96


4.
DFT (PBE) results for crystalline Tb4Te2SeN2 at its relaxed geometry.

Computed properties:
Total magnetic moment (μB per cell): 0.00
ΔE_f (raw) (eV/atom): -1.618
SG: C2/m, No. 12

a = 8.1029 Å, b = 8.1029 Å, c = 7.3387 Å
α = 106.45°, β = 106.45°, γ = 28.81°
Closest atoms and distances in Å follow each position.
Sites, in units of the cell vectors:
Tb 0.0522 0.0522 0.2709  1 N 2.13
Tb 0.2894 0.2894 0.3512  3 N 2.27-2.32
Tb 0.7106 0.7106 0.6488  3 N 2.27-2.32
Tb 0.9478 0.9478 0.7291  1 N 2.13
Te 0.3659 0.3659 0.9623  5 Tb 3.15-3.47
Te 0.6341 0.6341 0.0377  5 Tb 3.15-3.47
Se 0.5000 0.5000 0.5000  6 Tb 2.89-3.16
N 0.1768 0.1768 0.4869  4 Tb 2.13-2.32
N 0.8232 0.8232 0.5131  4 Tb 2.13-2.32


5.
DFT (PBE) results for crystalline PrSc2Pa at its relaxed geometry.

Computed properties:
Total magnetic moment (μB per cell): 0.00
Polymorph energy (0 for the lowest one) (eV/atom): 0.001
SG: R-3m, No. 166
Energy relative to the elements (meV per atom): 101

a = 11.1245 Å, b = 11.1245 Å, c = 11.1245 Å
α = 17.37°, β = 17.37°, γ = 17.37°
Closest atoms and distances in Å follow each position.
Sites, in units of the cell vectors:
Pr 0.0000 0.0000 0.0000  6 Pr 3.36, 6 Sc 3.52
Sc 0.2439 0.2439 0.2439  3 Pa 3.19, 6 Sc 3.36, 3 Pr 3.52
Sc 0.7561 0.7561 0.7561  3 Pa 3.19, 6 Sc 3.36, 3 Pr 3.52
Pa 0.5000 0.5000 0.5000  6 Sc 3.19, 6 Pa 3.36


6.
DFT (PBE) results for crystalline KW at its relaxed geometry.

Computed properties:
Total magnetic moment (μB per cell): 10.12
Polymorph energy (0 for the lowest one) (eV/atom): 2.404
SG: P6_3/mmc, No. 194
Energy relative to the elements (meV per atom): 3327

a = 6.2276 Å, b = 6.2276 Å, c = 7.1725 Å
α = 90.00°, β = 90.00°, γ = 120.00°
Closest atoms and distances in Å follow each position.
Sites, in units of the cell vectors:
K 0.3333 0.6667 0.2500  5 W 3.59-3.60
K 0.6667 0.3333 0.7500  5 W 3.59-3.60
W 0.3333 0.6667 0.7500  5 K 3.59-3.60
W 0.6667 0.3333 0.2500  5 K 3.59-3.60